Below is a relaxed Cs2CuNi crystal, with properties calculated at the GGA-PBEsol level.

DFT formation energy in eV/atom: 0.949

CIF file:
```
data_Cs2CuNi
_space_group_name_H-M_alt 'F m -3 m'
_space_group_IT_number 225
_space_group_name_Hall '-F 4 2 3'
_cell_length_a 8.2273
_cell_length_b 8.2273
_cell_length_c 8.2273
_cell_angle_alpha 90.00
_cell_angle_beta 90.00
_cell_angle_gamma 90.00
loop_
_atom_site_label
_atom_site_type_symbol
_atom_site_fract_x
_atom_site_fract_y
_atom_site_fract_z
Cs1 Cs 0.2500 0.2500 0.2500
Cu1 Cu 0.0000 0.0000 0.0000
Ni1 Ni 0.0000 0.0000 0.5000
```

Below is a relaxed NaBeTe2 crystal, with properties calculated at the GGA-PBEsol level.

Formation energy (no corrections) in eV per atom: -0.340

CIF file:
```
data_NaBeTe2
_space_group_name_H-M_alt 'I -4 2 d'
_space_group_IT_number 122
_space_group_name_Hall 'I -4 2bw'
_cell_length_a 7.3767
_cell_length_b 7.3767
_cell_length_c 7.4217
_cell_angle_alpha 90.00
_cell_angle_beta 90.00
_cell_angle_gamma 90.00
loop_
_atom_site_label
_atom_site_type_symbol
_atom_site_fract_x
_atom_site_fract_y
_atom_site_fract_z
Na1 Na 0.0000 0.0000 0.0000
Be1 Be 0.0000 0.0000 0.5000
Te1 Te 0.1722 0.2500 0.6250
```

Below is a relaxed HfTcAs2Br crystal, with properties calculated at the GGA-PBEsol level.

Formation energy (no corrections) in eV per atom: 0.646

CIF file:
```
data_HfTcAs2Br
_space_group_name_H-M_alt 'P 4/m m m'
_space_group_IT_number 123
_space_group_name_Hall '-P 4 2'
_cell_length_a 4.6925
_cell_length_b 4.6925
_cell_length_c 4.9917
_cell_angle_alpha 90.00
_cell_angle_beta 90.00
_cell_angle_gamma 90.00
loop_
_atom_site_label
_atom_site_type_symbol
_atom_site_fract_x
_atom_site_fract_y
_atom_site_fract_z
Hf1 Hf 0.0000 0.0000 0.0000
Tc1 Tc 0.5000 0.5000 0.5000
As1 As 0.0000 0.5000 0.5000
Br1 Br 0.5000 0.5000 0.0000
```

Below is a relaxed CsTe2HN crystal, with properties calculated at the GGA-PBEsol level.

Electronic total energy in eV per atom: -2.101

CIF file:
```
data_CsTe2HN
_space_group_name_H-M_alt 'P 4/m m m'
_space_group_IT_number 123
_space_group_name_Hall '-P 4 2'
_cell_length_a 7.1131
_cell_length_b 7.1131
_cell_length_c 3.7521
_cell_angle_alpha 90.00
_cell_angle_beta 90.00
_cell_angle_gamma 90.00
loop_
_atom_site_label
_atom_site_type_symbol
_atom_site_fract_x
_atom_site_fract_y
_atom_site_fract_z
Cs1 Cs 0.0000 0.0000 0.0000
Te1 Te 0.0000 0.5000 0.0000
H1 H 0.0000 0.0000 0.5000
N1 N 0.5000 0.5000 0.5000
```

Below is a relaxed Ba2I2Cl crystal, with properties calculated at the GGA-PBEsol level.

Formation energy (no corrections) in eV per atom: -1.774

CIF file:
```
data_Ba2I2Cl
_space_group_name_H-M_alt 'P 4/m b m'
_space_group_IT_number 127
_space_group_name_Hall '-P 4 2ab'
_cell_length_a 8.6317
_cell_length_b 8.6317
_cell_length_c 4.9780
_cell_angle_alpha 90.00
_cell_angle_beta 90.00
_cell_angle_gamma 90.00
loop_
_atom_site_label
_atom_site_type_symbol
_atom_site_fract_x
_atom_site_fract_y
_atom_site_fract_z
Ba1 Ba 0.1632 0.3368 0.0000
I1 I 0.1477 0.6477 0.5000
Cl1 Cl 0.0000 0.0000 0.0000
```

Below is a relaxed Na3InAs2 crystal, with properties calculated at the GGA-PBEsol level.

DFT formation energy in eV/atom: -0.431

CIF file:
```
data_Na3InAs2
_space_group_name_H-M_alt 'P 1 21/c 1'
_space_group_IT_number 14
_cell_length_a 9.6631
_cell_length_b 7.4774
_cell_length_c 15.6657
_cell_angle_alpha 90.00
_cell_angle_beta 92.95
_cell_angle_gamma 90.00
loop_
_space_group_symop_operation_xyz
'x,y,z'
'-x,-y,-z'
'-x,y+1/2,-z+1/2'
'x,-y+1/2,z+1/2'
loop_
_atom_site_label
_atom_site_type_symbol
_atom_site_fract_x
_atom_site_fract_y
_atom_site_fract_z
Na1 Na 0.0612 0.0109 0.3945
Na2 Na 0.1162 0.1531 0.0464
Na3 Na 0.1785 0.5089 0.3620
Na4 Na 0.3127 0.0316 0.6488
Na5 Na 0.3727 0.1524 0.2968
Na6 Na 0.4332 0.5262 0.6058
In1 In 0.1387 0.6527 0.7089
In2 In 0.3755 0.6409 0.9582
As1 As 0.0917 0.2111 0.2260
As2 As 0.1523 0.7375 0.5397
As3 As 0.3709 0.2222 0.4770
As4 As 0.3787 0.7416 0.7925
```

Below is a relaxed Tl2MoIrC crystal, with properties calculated at the GGA-PBEsol level.

DFT formation energy in eV/atom: 2.402

CIF file:
```
data_Tl2MoIrC
_space_group_name_H-M_alt 'P 4/m m m'
_space_group_IT_number 123
_space_group_name_Hall '-P 4 2'
_cell_length_a 5.3523
_cell_length_b 5.3523
_cell_length_c 4.5912
_cell_angle_alpha 90.00
_cell_angle_beta 90.00
_cell_angle_gamma 90.00
loop_
_atom_site_label
_atom_site_type_symbol
_atom_site_fract_x
_atom_site_fract_y
_atom_site_fract_z
Tl1 Tl 0.0000 0.5000 0.0000
Mo1 Mo 0.0000 0.0000 0.0000
Ir1 Ir 0.0000 0.0000 0.5000
C1 C 0.5000 0.5000 0.5000
```

Below is a relaxed Re2PBr crystal, with properties calculated at the GGA-PBEsol level.

Energy relative to the lowest polymorph listed for this composition in meV per atom: 0.0
Formation energy (no corrections) in eV per atom: 0.756

CIF file:
```
data_Re2PBr
_space_group_name_H-M_alt 'I m m 2'
_space_group_IT_number 44
_cell_length_a 2.9858
_cell_length_b 4.0537
_cell_length_c 9.9423
_cell_angle_alpha 90.00
_cell_angle_beta 90.00
_cell_angle_gamma 90.00
loop_
_space_group_symop_operation_xyz
'x,y,z'
'-x,-y,z'
'-x,y,z'
'x,-y,z'
'x+1/2,y+1/2,z+1/2'
'-x+1/2,-y+1/2,z+1/2'
'-x+1/2,y+1/2,z+1/2'
'x+1/2,-y+1/2,z+1/2'
loop_
_atom_site_label
_atom_site_type_symbol
_atom_site_fract_x
_atom_site_fract_y
_atom_site_fract_z
Re1 Re 0.0000 0.0000 0.0000
Re2 Re 0.0000 0.5000 0.2379
P1 P 0.0000 0.0000 0.5513
Br1 Br 0.0000 0.5000 0.7929
```

Below is a relaxed Be2MoAu crystal, with properties calculated at the GGA-PBEsol level.

DFT formation energy in eV/atom: 0.089

CIF file:
```
data_Be2MoAu
_space_group_name_H-M_alt 'C 1 m 1'
_space_group_IT_number 8
_cell_length_a 9.0844
_cell_length_b 2.5955
_cell_length_c 4.3559
_cell_angle_alpha 90.00
_cell_angle_beta 107.87
_cell_angle_gamma 90.00
loop_
_space_group_symop_operation_xyz
'x,y,z'
'x,-y,z'
'x+1/2,y+1/2,z'
'x+1/2,-y+1/2,z'
loop_
_atom_site_label
_atom_site_type_symbol
_atom_site_fract_x
_atom_site_fract_y
_atom_site_fract_z
Be1 Be 0.0000 0.0000 0.0000
Be2 Be 0.2069 0.5000 0.3237
Mo1 Mo 0.4627 0.0000 0.4651
Au1 Au 0.2445 0.0000 0.8476
```

Below is a relaxed Mg2TlIn crystal, with properties calculated at the GGA-PBEsol level.

DFT formation energy in eV/atom: -0.076

CIF file:
```
data_Mg2TlIn
_space_group_name_H-M_alt 'I -4 m 2'
_space_group_IT_number 119
_space_group_name_Hall 'I -4 -2'
_cell_length_a 4.4051
_cell_length_b 4.4051
_cell_length_c 9.6172
_cell_angle_alpha 90.00
_cell_angle_beta 90.00
_cell_angle_gamma 90.00
loop_
_atom_site_label
_atom_site_type_symbol
_atom_site_fract_x
_atom_site_fract_y
_atom_site_fract_z
Mg1 Mg 0.0000 0.0000 0.0000
Mg2 Mg 0.0000 0.5000 0.2500
Tl1 Tl 0.0000 0.0000 0.5000
In1 In 0.0000 0.5000 0.7500
```